The following is a PBE calculation of crystalline BaAlIn2Au4 at its relaxed geometry, from the Alexandria database.

Calculated values
Formation energy from the elements in kcal/mol of atoms: -9.67
Total magnetic moment in Bohr magnetons per cell: 0.0
Density of states at the Fermi level in states/eV/atom: 0.1790
Volume in A^3/atom: 23.72

Structure (CIF):
```
data_BaAlIn2Au4
_chemical_formula_sum 'Ba3 Al3 In6 Au12'
_symmetry_space_group_name_H-M 'R -3 m'
_symmetry_Int_Tables_number 166
_symmetry_space_group_name_Hall '-R 3 2"'
_cell_length_a 4.6966
_cell_length_b 4.6966
_cell_length_c 29.7994
_cell_angle_alpha 90.00
_cell_angle_beta 90.00
_cell_angle_gamma 120.00
loop_
_atom_site_label
_atom_site_type_symbol
_atom_site_fract_x
_atom_site_fract_y
_atom_site_fract_z
Ba1 Ba 0.0000 0.0000 0.0000
Al1 Al 0.0000 0.0000 0.5000
In1 In 0.0000 0.0000 0.2443
Au1 Au 0.0000 0.0000 0.1455
Au2 Au 0.0000 0.0000 0.4078
```

***

The following is a PBE calculation of crystalline AcThC2 at its relaxed geometry, from the Alexandria database.

Calculated values
Formation energy from the elements in kcal/mol of atoms: 2.69
Total magnetic moment in Bohr magnetons per cell: 0.0
Density of states at the Fermi level in states/eV/atom: 0.7905
Volume in A^3/atom: 20.47

Structure (CIF):
```
data_AcThC2
_chemical_formula_sum 'Ac3 Th3 C6'
_symmetry_space_group_name_H-M 'R -3 m'
_symmetry_Int_Tables_number 166
_symmetry_space_group_name_Hall '-R 3 2"'
_cell_length_a 3.8566
_cell_length_b 3.8566
_cell_length_c 19.0711
_cell_angle_alpha 90.00
_cell_angle_beta 90.00
_cell_angle_gamma 120.00
loop_
_atom_site_label
_atom_site_type_symbol
_atom_site_fract_x
_atom_site_fract_y
_atom_site_fract_z
Ac1 Ac 0.0000 0.0000 0.0000
Th1 Th 0.0000 0.0000 0.5000
C1 C 0.0000 0.0000 0.2400
```

***

The following is a PBE calculation of crystalline TiRhSe2 at its relaxed geometry, from the Alexandria database.

Calculated values
Total magnetic moment in Bohr magnetons per cell: 0.0
Energy relative to the elements, uncorrected in kJ per mole of atoms: -44.21
Density of states at the Fermi level in states/eV/atom: 1.2302
E above lowest polymorph in eV/atom: 0.123
Volume in A^3/atom: 19.35

Structure (CIF):
```
data_TiRhSe2
_chemical_formula_sum 'Ti3 Rh3 Se6'
_symmetry_space_group_name_H-M 'R -3 m'
_symmetry_Int_Tables_number 166
_symmetry_space_group_name_Hall '-R 3 2"'
_cell_length_a 3.3261
_cell_length_b 3.3261
_cell_length_c 24.2402
_cell_angle_alpha 90.00
_cell_angle_beta 90.00
_cell_angle_gamma 120.00
loop_
_atom_site_label
_atom_site_type_symbol
_atom_site_fract_x
_atom_site_fract_y
_atom_site_fract_z
Ti1 Ti 0.0000 0.0000 0.0000
Rh1 Rh 0.0000 0.0000 0.5000
Se1 Se 0.0000 0.0000 0.4014
```

***

The following is a PBE calculation of crystalline Tb4Nd3Dy4 at its relaxed geometry, from the Alexandria database.

Calculated values
Formation energy from the elements in kcal/mol of atoms: 3.59
Total magnetic moment in Bohr magnetons per cell: 0.0
Density of states at the Fermi level in states/eV/atom: 1.5998
E above lowest polymorph in eV/atom: 0.000
Volume in A^3/atom: 33.43

Structure (CIF):
```
data_Tb4Nd3Dy4
_chemical_formula_sum 'Tb8 Nd6 Dy8'
_symmetry_space_group_name_H-M 'A m m 2'
_symmetry_Int_Tables_number 38
_cell_length_a 10.6506
_cell_length_b 5.7259
_cell_length_c 12.0603
_cell_angle_alpha 90.00
_cell_angle_beta 90.00
_cell_angle_gamma 90.00
loop_
_symmetry_equiv_pos_as_xyz
'x,y,z'
'-x,-y,z'
'-x,y,z'
'x,-y,z'
'x,y+1/2,z+1/2'
'-x,-y+1/2,z+1/2'
'-x,y+1/2,z+1/2'
'x,-y+1/2,z+1/2'
loop_
_atom_site_label
_atom_site_type_symbol
_atom_site_fract_x
_atom_site_fract_y
_atom_site_fract_z
Tb1 Tb 0.0000 0.0000 0.0000
Tb2 Tb 0.2134 0.0000 0.7950
Tb3 Tb 0.5000 0.0000 0.9319
Nd1 Nd 0.0000 0.0000 0.2975
Nd2 Nd 0.2938 0.0000 0.4495
Dy1 Dy 0.0000 0.0000 0.5978
Dy2 Dy 0.2952 0.0000 0.1452
Dy3 Dy 0.5000 0.0000 0.6596
```

***

The following is a PBE calculation of crystalline RbNaBr2O6 at its relaxed geometry, from the Alexandria database.

Calculated values
Total magnetic moment in Bohr magnetons per cell: 0.0
Energy relative to the elements, uncorrected in kJ per mole of atoms: -56.35
Density of states at the Fermi level in states/eV/atom: 0.0000
Volume in A^3/atom: 18.82

Structure (CIF):
```
data_RbNaBr2O6
_chemical_formula_sum 'Rb4 Na4 Br8 O24'
_symmetry_space_group_name_H-M 'C 1 2/c 1'
_symmetry_Int_Tables_number 15
_cell_length_a 9.8734
_cell_length_b 11.1967
_cell_length_c 7.1112
_cell_angle_alpha 90.00
_cell_angle_beta 106.73
_cell_angle_gamma 90.00
loop_
_symmetry_equiv_pos_as_xyz
'x,y,z'
'-x,-y,-z'
'-x,y,-z+1/2'
'x,-y,z+1/2'
'x+1/2,y+1/2,z'
'-x+1/2,-y+1/2,-z'
'-x+1/2,y+1/2,-z+1/2'
'x+1/2,-y+1/2,z+1/2'
loop_
_atom_site_label
_atom_site_type_symbol
_atom_site_fract_x
_atom_site_fract_y
_atom_site_fract_z
Rb1 Rb 0.0000 0.1797 0.2500
Na1 Na 0.0000 0.4256 0.7500
Br1 Br 0.2105 0.1230 0.8337
O1 O 0.1142 0.4094 0.1097
O2 O 0.1341 0.0436 0.6310
O3 O 0.1966 0.2672 0.7583
```

***

The following is a PBE calculation of crystalline Sr2Ti2Sb at its relaxed geometry, from the Alexandria database.

Calculated values
Total magnetic moment in Bohr magnetons per cell: 3.3
Energy relative to the elements, uncorrected in kJ per mole of atoms: 55.27
Density of states at the Fermi level in states/eV/atom: 1.0392
E above lowest polymorph in eV/atom: 0.516
Volume in A^3/atom: 32.40

Structure (CIF):
```
data_Sr2Ti2Sb
_chemical_formula_sum 'Sr4 Ti4 Sb2'
_symmetry_space_group_name_H-M 'P 4/m b m'
_symmetry_Int_Tables_number 127
_symmetry_space_group_name_Hall '-P 4 2ab'
_cell_length_a 9.5655
_cell_length_b 9.5655
_cell_length_c 3.5415
_cell_angle_alpha 90.00
_cell_angle_beta 90.00
_cell_angle_gamma 90.00
loop_
_atom_site_label
_atom_site_type_symbol
_atom_site_fract_x
_atom_site_fract_y
_atom_site_fract_z
Sr1 Sr 0.2036 0.2964 0.0000
Ti1 Ti 0.0791 0.5791 0.5000
Sb1 Sb 0.0000 0.0000 0.0000
```

***

The following is a PBE calculation of crystalline Rb2OsCBr6 at its relaxed geometry, from the Alexandria database.

Calculated values
Total magnetic moment in Bohr magnetons per cell: 6.4
Energy relative to the elements, uncorrected in kJ per mole of atoms: -9.91
Density of states at the Fermi level in states/eV/atom: 0.8179
Volume in A^3/atom: 30.01

Structure (CIF):
```
data_Rb2OsCBr6
_chemical_formula_sum 'Rb4 Os2 C2 Br12'
_symmetry_space_group_name_H-M 'I 4/m m m'
_symmetry_Int_Tables_number 139
_symmetry_space_group_name_Hall '-I 4 2'
_cell_length_a 7.2088
_cell_length_b 7.2088
_cell_length_c 11.5512
_cell_angle_alpha 90.00
_cell_angle_beta 90.00
_cell_angle_gamma 90.00
loop_
_atom_site_label
_atom_site_type_symbol
_atom_site_fract_x
_atom_site_fract_y
_atom_site_fract_z
Rb1 Rb 0.0000 0.5000 0.2500
Os1 Os 0.0000 0.0000 0.0000
C1 C 0.0000 0.0000 0.5000
Br1 Br 0.0000 0.0000 0.2177
Br2 Br 0.2480 0.2480 0.5000
```

***

The following is a PBE calculation of crystalline GaSbSe2O at its relaxed geometry, from the Alexandria database.

Calculated values
Total magnetic moment in Bohr magnetons per cell: 0.0
Energy relative to the elements, uncorrected in kJ per mole of atoms: 82.16
Density of states at the Fermi level in states/eV/atom: 0.8542
Volume in A^3/atom: 25.27

Structure (CIF):
```
data_GaSbSe2O
_chemical_formula_sum 'Ga1 Sb1 Se2 O1'
_symmetry_space_group_name_H-M 'P 4/m m m'
_symmetry_Int_Tables_number 123
_symmetry_space_group_name_Hall '-P 4 2'
_cell_length_a 4.7409
_cell_length_b 4.7409
_cell_length_c 5.6223
_cell_angle_alpha 90.00
_cell_angle_beta 90.00
_cell_angle_gamma 90.00
loop_
_atom_site_label
_atom_site_type_symbol
_atom_site_fract_x
_atom_site_fract_y
_atom_site_fract_z
Ga1 Ga 0.0000 0.0000 0.0000
Sb1 Sb 0.0000 0.0000 0.5000
Se1 Se 0.0000 0.5000 0.0000
O1 O 0.5000 0.5000 0.5000
```

***

The following is a PBE calculation of crystalline NbCr2Os2 at its relaxed geometry, from the Alexandria database.

Calculated values
Formation energy from the elements in kcal/mol of atoms: 2.00
Total magnetic moment in Bohr magnetons per cell: 1.3
Density of states at the Fermi level in states/eV/atom: 1.0733
E above lowest polymorph in eV/atom: 0.000
Volume in A^3/atom: 14.35

Structure (CIF):
```
data_NbCr2Os2
_chemical_formula_sum 'Nb2 Cr4 Os4'
_symmetry_space_group_name_H-M 'P 4/m b m'
_symmetry_Int_Tables_number 127
_symmetry_space_group_name_Hall '-P 4 2ab'
_cell_length_a 7.1582
_cell_length_b 7.1582
_cell_length_c 2.8003
_cell_angle_alpha 90.00
_cell_angle_beta 90.00
_cell_angle_gamma 90.00
loop_
_atom_site_label
_atom_site_type_symbol
_atom_site_fract_x
_atom_site_fract_y
_atom_site_fract_z
Nb1 Nb 0.0000 0.0000 0.0000
Cr1 Cr 0.1446 0.3554 0.0000
Os1 Os 0.1531 0.6531 0.5000
```

***

The following is a PBE calculation of crystalline BaTl4P at its relaxed geometry, from the Alexandria database.

Calculated values
Formation energy from the elements in kcal/mol of atoms: 2.18
Total magnetic moment in Bohr magnetons per cell: 0.0
Density of states at the Fermi level in states/eV/atom: 0.6603
Volume in A^3/atom: 31.81

Structure (CIF):
```
data_BaTl4P
_chemical_formula_sum 'Ba4 Tl16 P4'
_symmetry_space_group_name_H-M 'F -4 3 m'
_symmetry_Int_Tables_number 216
_symmetry_space_group_name_Hall 'F -4 2 3'
_cell_length_a 9.1396
_cell_length_b 9.1396
_cell_length_c 9.1396
_cell_angle_alpha 90.00
_cell_angle_beta 90.00
_cell_angle_gamma 90.00
loop_
_atom_site_label
_atom_site_type_symbol
_atom_site_fract_x
_atom_site_fract_y
_atom_site_fract_z
Ba1 Ba 0.0000 0.0000 0.0000
Tl1 Tl 0.1238 0.1238 0.3762
P1 P 0.2500 0.2500 0.7500
```

***

The following is a PBE calculation of crystalline ZnRePt2 at its relaxed geometry, from the Alexandria database.

Calculated values
Formation energy from the elements in kcal/mol of atoms: -1.99
Total magnetic moment in Bohr magnetons per cell: 0.0
Density of states at the Fermi level in states/eV/atom: 0.9824
Volume in A^3/atom: 15.09

Structure (CIF):
```
data_ZnRePt2
_chemical_formula_sum 'Zn3 Re3 Pt6'
_symmetry_space_group_name_H-M 'R 3 m'
_symmetry_Int_Tables_number 160
_symmetry_space_group_name_Hall 'R 3 -2"'
_cell_length_a 2.7922
_cell_length_b 2.7922
_cell_length_c 26.8191
_cell_angle_alpha 90.00
_cell_angle_beta 90.00
_cell_angle_gamma 120.00
loop_
_atom_site_label
_atom_site_type_symbol
_atom_site_fract_x
_atom_site_fract_y
_atom_site_fract_z
Zn1 Zn 0.0000 0.0000 0.0000
Re1 Re 0.0000 0.0000 0.2506
Pt1 Pt 0.0000 0.0000 0.5031
Pt2 Pt 0.0000 0.0000 0.7471
```

***

The following is a PBE calculation of crystalline KCdOs at its relaxed geometry, from the Alexandria database.

Calculated values
Formation energy from the elements in kcal/mol of atoms: 37.05
Total magnetic moment in Bohr magnetons per cell: 4.8
Density of states at the Fermi level in states/eV/atom: 2.2148
E above lowest polymorph in eV/atom: 0.745
Volume in A^3/atom: 27.12

Structure (CIF):
```
data_KCdOs
_chemical_formula_sum 'K4 Cd4 Os4'
_symmetry_space_group_name_H-M 'F -4 3 m'
_symmetry_Int_Tables_number 216
_symmetry_space_group_name_Hall 'F -4 2 3'
_cell_length_a 6.8782
_cell_length_b 6.8782
_cell_length_c 6.8782
_cell_angle_alpha 90.00
_cell_angle_beta 90.00
_cell_angle_gamma 90.00
loop_
_atom_site_label
_atom_site_type_symbol
_atom_site_fract_x
_atom_site_fract_y
_atom_site_fract_z
K1 K 0.0000 0.0000 0.0000
Cd1 Cd 0.0000 0.0000 0.5000
Os1 Os 0.2500 0.2500 0.7500
```